(1)
Entry from Alexandria via LeMat-Bulk: an optimized crystal structure of Tb5SmHo (PBE-GGA).

The structure in CIF format:
```
data_Tb5SmHo
_chemical_formula_sum 'Tb20 Sm4 Ho4'
_symmetry_space_group_name_H-M 'C 1 2/c 1'
_symmetry_Int_Tables_number 15
_cell_length_a 11.743
_cell_length_b 6.748
_cell_length_c 12.256
_cell_angle_alpha 90.00
_cell_angle_beta 110.82
_cell_angle_gamma 90.00
loop_
_symmetry_equiv_pos_as_xyz
'x,y,z'
'-x,-y,-z'
'-x,y,-z+1/2'
'x,-y,z+1/2'
'x+1/2,y+1/2,z'
'-x+1/2,-y+1/2,-z'
'-x+1/2,y+1/2,-z+1/2'
'x+1/2,-y+1/2,z+1/2'
loop_
_atom_site_label
_atom_site_type_symbol
_atom_site_fract_x
_atom_site_fract_y
_atom_site_fract_z
_atom_site_occupancy
Tb1 Tb 0.000 0.088 0.250 1
Tb2 Tb 0.079 0.236 0.001 1
Tb3 Tb 0.218 0.133 0.745 1
Sm1 Sm 0.000 0.471 0.750 1
Ho1 Ho 0.250 0.250 0.500 1
```

Calculated values
The energy relative to the lowest polymorph listed for this composition is 0 meV per atom.



(2)
Entry from Alexandria via LeMat-Bulk: an optimized crystal structure of Tb2Sm7Ho (PBE-GGA).

The structure in CIF format:
```
data_Tb2Sm7Ho
_chemical_formula_sum 'Tb4 Sm14 Ho2'
_symmetry_space_group_name_H-M 'C m m m'
_symmetry_Int_Tables_number 65
_symmetry_space_group_name_Hall '-C 2 2'
_cell_length_a 8.753
_cell_length_b 16.908
_cell_length_c 5.457
_cell_angle_alpha 90.00
_cell_angle_beta 90.00
_cell_angle_gamma 90.00
loop_
_atom_site_label
_atom_site_type_symbol
_atom_site_fract_x
_atom_site_fract_y
_atom_site_fract_z
_atom_site_occupancy
Tb1 Tb 0.000 0.204 0.000 1
Sm1 Sm 0.000 0.000 0.000 1
Sm2 Sm 0.000 0.294 0.500 1
Sm3 Sm 0.179 0.389 0.000 1
Ho1 Ho 0.000 0.500 0.500 1
```

Calculated values
The energy relative to the lowest polymorph listed for this composition is 642 meV per atom.



(3)
Entry from Alexandria via LeMat-Bulk: an optimized crystal structure of Tb4Sm7Ho (PBE-GGA).

The structure in CIF format:
```
data_Tb4Sm7Ho
_chemical_formula_sum 'Tb8 Sm14 Ho2'
_symmetry_space_group_name_H-M 'C 1 2/m 1'
_symmetry_Int_Tables_number 12
_cell_length_a 16.151
_cell_length_b 5.961
_cell_length_c 9.337
_cell_angle_alpha 90.00
_cell_angle_beta 116.04
_cell_angle_gamma 90.00
loop_
_symmetry_equiv_pos_as_xyz
'x,y,z'
'-x,-y,-z'
'-x,y,-z'
'x,-y,z'
'x+1/2,y+1/2,z'
'-x+1/2,-y+1/2,-z'
'-x+1/2,y+1/2,-z'
'x+1/2,-y+1/2,z'
loop_
_atom_site_label
_atom_site_type_symbol
_atom_site_fract_x
_atom_site_fract_y
_atom_site_fract_z
_atom_site_occupancy
Tb1 Tb 0.073 0.000 0.199 1
Tb2 Tb 0.173 0.000 0.889 1
Sm1 Sm 0.000 0.000 0.500 1
Sm2 Sm 0.082 0.500 0.941 1
Sm3 Sm 0.208 0.500 0.729 1
Sm4 Sm 0.211 0.500 0.379 1
Ho1 Ho 0.000 0.500 0.500 1
```

Calculated values
The energy relative to the lowest polymorph listed for this composition is 218 meV per atom.



(4)
Entry from Alexandria via LeMat-Bulk: an optimized crystal structure of Tb3Sm2Ho2 (PBE-GGA).

The structure in CIF format:
```
data_Tb3Sm2Ho2
_chemical_formula_sum 'Tb6 Sm4 Ho4'
_symmetry_space_group_name_H-M 'C 1 2/m 1'
_symmetry_Int_Tables_number 12
_cell_length_a 16.632
_cell_length_b 3.503
_cell_length_c 8.717
_cell_angle_alpha 90.00
_cell_angle_beta 115.97
_cell_angle_gamma 90.00
loop_
_symmetry_equiv_pos_as_xyz
'x,y,z'
'-x,-y,-z'
'-x,y,-z'
'x,-y,z'
'x+1/2,y+1/2,z'
'-x+1/2,-y+1/2,-z'
'-x+1/2,y+1/2,-z'
'x+1/2,-y+1/2,z'
loop_
_atom_site_label
_atom_site_type_symbol
_atom_site_fract_x
_atom_site_fract_y
_atom_site_fract_z
_atom_site_occupancy
Tb1 Tb 0.000 0.000 0.000 1
Tb2 Tb 0.221 0.000 0.149 1
Sm1 Sm 0.079 0.000 0.700 1
Ho1 Ho 0.138 0.500 0.407 1
```

Calculated values
The energy relative to the lowest polymorph listed for this composition is 111 meV per atom.



(5)
Entry from Alexandria via LeMat-Bulk: an optimized crystal structure of TbSm12Ho5 (PBE-GGA).

The structure in CIF format:
```
data_TbSm12Ho5
_chemical_formula_sum 'Tb2 Sm24 Ho10'
_symmetry_space_group_name_H-M 'C m m m'
_symmetry_Int_Tables_number 65
_symmetry_space_group_name_Hall '-C 2 2'
_cell_length_a 15.232
_cell_length_b 15.258
_cell_length_c 5.088
_cell_angle_alpha 90.00
_cell_angle_beta 90.00
_cell_angle_gamma 90.00
loop_
_atom_site_label
_atom_site_type_symbol
_atom_site_fract_x
_atom_site_fract_y
_atom_site_fract_z
_atom_site_occupancy
Tb1 Tb 0.000 0.000 0.000 1
Sm1 Sm 0.165 0.333 0.500 1
Sm2 Sm 0.165 0.500 0.000 1
Sm3 Sm 0.166 0.000 0.500 1
Sm4 Sm 0.166 0.167 0.000 1
Ho1 Ho 0.000 0.167 0.500 1
Ho2 Ho 0.000 0.333 0.000 1
Ho3 Ho 0.000 0.500 0.500 1
```



(6)
Entry from Alexandria via LeMat-Bulk: an optimized crystal structure of Tb2Sm7Ho4 (PBE-GGA).

The structure in CIF format:
```
data_Tb2Sm7Ho4
_chemical_formula_sum 'Tb2 Sm7 Ho4'
_symmetry_space_group_name_H-M 'P -1'
_symmetry_Int_Tables_number 2
_cell_length_a 6.132
_cell_length_b 6.135
_cell_length_c 13.220
_cell_angle_alpha 89.96
_cell_angle_beta 89.98
_cell_angle_gamma 60.02
loop_
_symmetry_equiv_pos_as_xyz
'x,y,z'
'-x,-y,-z'
loop_
_atom_site_label
_atom_site_type_symbol
_atom_site_fract_x
_atom_site_fract_y
_atom_site_fract_z
_atom_site_occupancy
Tb1 Tb 0.166 0.166 0.000 1
Sm1 Sm 0.133 0.500 0.780 1
Sm2 Sm 0.134 0.866 0.221 1
Sm3 Sm 0.499 0.867 0.780 1
Sm4 Sm 0.500 0.500 0.000 1
Ho1 Ho 0.166 0.168 0.500 1
Ho2 Ho 0.499 0.502 0.607 1
```



(7)
Entry from Alexandria via LeMat-Bulk: an optimized crystal structure of Tb3SmHo4 (PBE-GGA).

The structure in CIF format:
```
data_Tb3SmHo4
_chemical_formula_sum 'Tb6 Sm2 Ho8'
_symmetry_space_group_name_H-M 'P m n 21'
_symmetry_Int_Tables_number 31
_cell_length_a 11.276
_cell_length_b 7.262
_cell_length_c 6.278
_cell_angle_alpha 90.00
_cell_angle_beta 90.00
_cell_angle_gamma 90.00
loop_
_symmetry_equiv_pos_as_xyz
'x,y,z'
'-x+1/2,-y,z+1/2'
'-x,y,z'
'x+1/2,-y,z+1/2'
loop_
_atom_site_label
_atom_site_type_symbol
_atom_site_fract_x
_atom_site_fract_y
_atom_site_fract_z
_atom_site_occupancy
Tb1 Tb 0.000 0.126 0.000 1
Tb2 Tb 0.250 0.127 0.334 1
Sm1 Sm 0.000 0.874 0.501 1
Ho1 Ho 0.000 0.376 0.500 1
Ho2 Ho 0.000 0.624 0.001 1
Ho3 Ho 0.249 0.376 0.833 1
```

Calculated values
The energy relative to the lowest polymorph listed for this composition is 0 meV per atom.



(8)
Entry from Alexandria via LeMat-Bulk: an optimized crystal structure of Tb4Sm5Ho4 (PBE-GGA).

The structure in CIF format:
```
data_Tb4Sm5Ho4
_chemical_formula_sum 'Tb8 Sm10 Ho8'
_symmetry_space_group_name_H-M 'I 4/m'
_symmetry_Int_Tables_number 87
_symmetry_space_group_name_Hall '-I 4'
_cell_length_a 12.898
_cell_length_b 12.898
_cell_length_c 5.044
_cell_angle_alpha 90.00
_cell_angle_beta 90.00
_cell_angle_gamma 90.00
loop_
_atom_site_label
_atom_site_type_symbol
_atom_site_fract_x
_atom_site_fract_y
_atom_site_fract_z
_atom_site_occupancy
Tb1 Tb 0.154 0.232 0.000 1
Sm1 Sm 0.000 0.000 0.000 1
Sm2 Sm 0.038 0.806 0.500 1
Ho1 Ho 0.076 0.614 0.000 1
```



(9)
Entry from Alexandria via LeMat-Bulk: an optimized crystal structure of Tb9Sm4Ho11 (PBE-GGA).

The structure in CIF format:
```
data_Tb9Sm4Ho11
_chemical_formula_sum 'Tb18 Sm8 Ho22'
_symmetry_space_group_name_H-M 'C m m m'
_symmetry_Int_Tables_number 65
_symmetry_space_group_name_Hall '-C 2 2'
_cell_length_a 16.666
_cell_length_b 25.098
_cell_length_c 3.681
_cell_angle_alpha 90.00
_cell_angle_beta 90.00
_cell_angle_gamma 90.00
loop_
_atom_site_label
_atom_site_type_symbol
_atom_site_fract_x
_atom_site_fract_y
_atom_site_fract_z
_atom_site_occupancy
Tb1 Tb 0.000 0.000 0.000 1
Tb2 Tb 0.102 0.235 0.000 1
Tb3 Tb 0.140 0.427 0.000 1
Sm1 Sm 0.155 0.101 0.000 1
Ho1 Ho 0.000 0.135 0.500 1
Ho2 Ho 0.000 0.340 0.500 1
Ho3 Ho 0.000 0.500 0.500 1
Ho4 Ho 0.211 0.000 0.500 1
Ho5 Ho 0.226 0.319 0.500 1
```



Formation energy? In order: 0.1865; 0.6585; 0.2238; 0.1273; 0.0178; 0.1581; 0.0110; 0.0155; 0.0541 eV/atom.
Density? In order: 8122; 6313; 7620; 8054; 7829; 7824; 8314; 8102; 8295 kg/m³.